# 1
First-principles (PBE-GGA) data for BaTlOs2 after structural relaxation, as listed in Alexandria.

Cell: 5.4257 5.4257 5.4257 Å, 130.94 130.94 71.92°
Element x y z (fractional)
Tl 0.2500 0.7500 0.5000
Os 0.0000 0.0000 0.0000
Os 0.5000 0.5000 0.0000
Ba 0.7500 0.2500 0.5000

Calculated values
* total energy: -20.7 eV/f.u.
* crystal system: tetragonal
* energy of formation from the pure elements: 1509.3 meV per atom
* SG: I4/mmm, No. 139
* spin magnetization: 2.684 μB/f.u.

---

# 2
First-principles (PBE-GGA) data for BaTlOs after structural relaxation, as listed in Alexandria.

Cell: 6.5009 6.5007 3.7000 Å, 73.47 73.46 33.07°
Element x y z (fractional)
Tl 0.7113 0.7113 0.2887
Os 0.2971 0.2971 0.7029
Ba 0.9916 0.9916 0.0084

Calculated values
* total energy: -13.4 eV/f.u.
* crystal system: tetragonal
* energy of formation from the pure elements: 697.1 meV per atom
* SG: I4mm, No. 107
* spin magnetization: 0.000 μB/f.u.

---

# 3
First-principles (PBE-GGA) data for BaTlOs2 after structural relaxation, as listed in Alexandria.

Cell: 4.9585 4.3052 5.5847 Å, 86.73 90.00 90.00°
Element x y z (fractional)
Tl 0.5000 0.2500 0.2500
Os 0.0000 0.0012 0.1570
Os 0.0000 0.4988 0.3430
Ba 0.5000 0.7500 0.7500

Calculated values
* total energy: -23.5 eV/f.u.
* crystal system: monoclinic
* energy of formation from the pure elements: 823.3 meV per atom
* SG: P2/m, No. 10
* spin magnetization: 0.000 μB/f.u.

---

# 4
First-principles (PBE-GGA) data for BaTl2Os after structural relaxation, as listed in Alexandria.

Cell: 4.6676 4.6591 5.1471 Å, 90.00 90.00 90.00°
Element x y z (fractional)
Tl 0.0000 0.0000 0.0000
Tl 0.5000 0.5000 0.0000
Os 0.0000 0.5000 0.5000
Ba 0.5000 0.0000 0.5000

Calculated values
* total energy: -14.8 eV/f.u.
* crystal system: tetragonal
* energy of formation from the pure elements: 770.6 meV per atom
* SG: P4/mmm, No. 123
* spin magnetization: 1.229 μB/f.u.